First-principles (PBE) data for LiHoBeZn after structural relaxation, as listed in Alexandria via LeMat-Bulk.

The structure in POSCAR format:
```
LiHoBeZn
1.0
6.3492 0.0000 0.0000
0.0000 6.3492 0.0000
0.0000 0.0000 6.3492
Li Ho Be Zn
4 4 4 4
direct
0.0000 0.0000 0.0000
0.0000 0.5000 0.5000
0.5000 0.0000 0.5000
0.5000 0.5000 0.0000
0.2500 0.2500 0.2500
0.2500 0.7500 0.7500
0.7500 0.2500 0.7500
0.7500 0.7500 0.2500
0.0000 0.0000 0.5000
0.0000 0.5000 0.0000
0.5000 0.0000 0.0000
0.5000 0.5000 0.5000
0.2500 0.2500 0.7500
0.2500 0.7500 0.2500
0.7500 0.2500 0.2500
0.7500 0.7500 0.7500
```

Summary:
As for the formation energy: -0.055 eV per atom. The spin magnetization is 0.00 μB per formula unit. The space group is F-43m.



First-principles (PBE) data for HoLu2Be after structural relaxation, as listed in Alexandria via LeMat-Bulk.

The structure in POSCAR format:
```
HoLu2Be
1.0
3.3671 0.0000 0.0000
-1.6836 2.9160 0.0000
0.0000 0.0000 33.5797
Ho Lu Be
3 6 3
direct
0.0000 0.0000 0.0000
0.3333 0.6667 0.6667
0.6667 0.3333 0.3333
0.0000 0.0000 0.4159
0.0000 0.0000 0.5841
0.3333 0.6667 0.0825
0.3333 0.6667 0.2508
0.6667 0.3333 0.7492
0.6667 0.3333 0.9175
0.0000 0.0000 0.5000
0.3333 0.6667 0.1667
0.6667 0.3333 0.8333
```

Summary:
As for the formation energy: 0.679 eV per atom. Its distance to the lowest polymorph of the same formula is 0.630 eV per atom. The spin magnetization is 0.00 μB per formula unit. The space group is R-3m.



First-principles (PBE) data for HoLu2Be after structural relaxation, as listed in Alexandria via LeMat-Bulk.

The structure in POSCAR format:
```
HoLu2Be
1.0
3.3881 0.0000 0.0000
0.0000 3.3881 0.0000
0.0000 0.0000 8.4857
Ho Lu Be
1 2 1
direct
0.0000 0.0000 0.0000
0.5000 0.5000 0.3080
0.5000 0.5000 0.6920
0.0000 0.0000 0.5000
```

Summary:
As for the formation energy: 0.049 eV per atom. Its distance to the lowest polymorph of the same formula is 0.000 eV per atom. The spin magnetization is 0.00 μB per formula unit. The space group is P4/mmm.



First-principles (PBE) data for HoLuMgBe after structural relaxation, as listed in Alexandria via LeMat-Bulk.

The structure in POSCAR format:
```
HoLuMgBe
1.0
7.1113 0.0000 0.0000
0.0000 7.1113 0.0000
0.0000 0.0000 7.1113
Ho Lu Mg Be
4 4 4 4
direct
0.0000 0.0000 0.0000
0.0000 0.5000 0.5000
0.5000 0.0000 0.5000
0.5000 0.5000 0.0000
0.0000 0.0000 0.5000
0.0000 0.5000 0.0000
0.5000 0.0000 0.0000
0.5000 0.5000 0.5000
0.2500 0.2500 0.7500
0.2500 0.7500 0.2500
0.7500 0.2500 0.2500
0.7500 0.7500 0.7500
0.2500 0.2500 0.2500
0.2500 0.7500 0.7500
0.7500 0.2500 0.7500
0.7500 0.7500 0.2500
```

Summary:
As for the formation energy: 0.090 eV per atom. The spin magnetization is 0.00 μB per formula unit. The space group is F-43m.



First-principles (PBE) data for HoLuBePd after structural relaxation, as listed in Alexandria via LeMat-Bulk.

The structure in POSCAR format:
```
HoLuBePd
1.0
6.8618 0.0000 0.0000
0.0000 6.8618 0.0000
0.0000 0.0000 6.8618
Ho Lu Be Pd
4 4 4 4
direct
0.0000 0.0000 0.0000
0.0000 0.5000 0.5000
0.5000 0.0000 0.5000
0.5000 0.5000 0.0000
0.0000 0.0000 0.5000
0.0000 0.5000 0.0000
0.5000 0.0000 0.0000
0.5000 0.5000 0.5000
0.2500 0.2500 0.7500
0.2500 0.7500 0.2500
0.7500 0.2500 0.2500
0.7500 0.7500 0.7500
0.2500 0.2500 0.2500
0.2500 0.7500 0.7500
0.7500 0.2500 0.7500
0.7500 0.7500 0.2500
```

Summary:
As for the formation energy: -0.397 eV per atom. The spin magnetization is 0.00 μB per formula unit. The space group is F-43m.



First-principles (PBE) data for HoLuBeRh after structural relaxation, as listed in Alexandria via LeMat-Bulk.

The structure in POSCAR format:
```
HoLuBeRh
1.0
6.7602 0.0000 0.0000
0.0000 6.7602 0.0000
0.0000 0.0000 6.7602
Ho Lu Be Rh
4 4 4 4
direct
0.0000 0.0000 0.0000
0.0000 0.5000 0.5000
0.5000 0.0000 0.5000
0.5000 0.5000 0.0000
0.0000 0.0000 0.5000
0.0000 0.5000 0.0000
0.5000 0.0000 0.0000
0.5000 0.5000 0.5000
0.2500 0.2500 0.7500
0.2500 0.7500 0.2500
0.7500 0.2500 0.2500
0.7500 0.7500 0.7500
0.2500 0.2500 0.2500
0.2500 0.7500 0.7500
0.7500 0.2500 0.7500
0.7500 0.7500 0.2500
```

Summary:
As for the formation energy: -0.428 eV per atom. The spin magnetization is 0.00 μB per formula unit. The space group is F-43m.



First-principles (PBE) data for HoLuBeTl after structural relaxation, as listed in Alexandria via LeMat-Bulk.

The structure in POSCAR format:
```
HoLuBeTl
1.0
7.1825 0.0000 0.0000
0.0000 7.1825 0.0000
0.0000 0.0000 7.1825
Ho Lu Be Tl
4 4 4 4
direct
0.0000 0.0000 0.0000
0.0000 0.5000 0.5000
0.5000 0.0000 0.5000
0.5000 0.5000 0.0000
0.0000 0.0000 0.5000
0.0000 0.5000 0.0000
0.5000 0.0000 0.0000
0.5000 0.5000 0.5000
0.2500 0.2500 0.7500
0.2500 0.7500 0.2500
0.7500 0.2500 0.2500
0.7500 0.7500 0.7500
0.2500 0.2500 0.2500
0.2500 0.7500 0.7500
0.7500 0.2500 0.7500
0.7500 0.7500 0.2500
```

Summary:
As for the formation energy: -0.021 eV per atom. The spin magnetization is 0.00 μB per formula unit. The space group is F-43m.



First-principles (PBE) data for HoLuBeZn after structural relaxation, as listed in Alexandria via LeMat-Bulk.

The structure in POSCAR format:
```
HoLuBeZn
1.0
6.8988 0.0000 0.0000
0.0000 6.8988 0.0000
0.0000 0.0000 6.8988
Ho Lu Be Zn
4 4 4 4
direct
0.0000 0.0000 0.0000
0.0000 0.5000 0.5000
0.5000 0.0000 0.5000
0.5000 0.5000 0.0000
0.0000 0.0000 0.5000
0.0000 0.5000 0.0000
0.5000 0.0000 0.0000
0.5000 0.5000 0.5000
0.2500 0.2500 0.7500
0.2500 0.7500 0.2500
0.7500 0.2500 0.2500
0.7500 0.7500 0.7500
0.2500 0.2500 0.2500
0.2500 0.7500 0.7500
0.7500 0.2500 0.7500
0.7500 0.7500 0.2500
```

Summary:
As for the formation energy: -0.127 eV per atom. The spin magnetization is 0.00 μB per formula unit. The space group is F-43m.



> Which value of formation energy does entry 4 give?

0.090 eV per atom



Copy entry 2 word for word.
First-principles (PBE) data for HoLu2Be after structural relaxation, as listed in Alexandria via LeMat-Bulk.

The structure in POSCAR format:
```
HoLu2Be
1.0
3.3671 0.0000 0.0000
-1.6836 2.9160 0.0000
0.0000 0.0000 33.5797
Ho Lu Be
3 6 3
direct
0.0000 0.0000 0.0000
0.3333 0.6667 0.6667
0.6667 0.3333 0.3333
0.0000 0.0000 0.4159
0.0000 0.0000 0.5841
0.3333 0.6667 0.0825
0.3333 0.6667 0.2508
0.6667 0.3333 0.7492
0.6667 0.3333 0.9175
0.0000 0.0000 0.5000
0.3333 0.6667 0.1667
0.6667 0.3333 0.8333
```

Summary:
As for the formation energy: 0.679 eV per atom. Its distance to the lowest polymorph of the same formula is 0.630 eV per atom. The spin magnetization is 0.00 μB per formula unit. The space group is R-3m.



> Which of these has the lowest formation energy?

HoLuBeRh



Please write out number 5 again, unchanged.
First-principles (PBE) data for HoLuBePd after structural relaxation, as listed in Alexandria via LeMat-Bulk.

The structure in POSCAR format:
```
HoLuBePd
1.0
6.8618 0.0000 0.0000
0.0000 6.8618 0.0000
0.0000 0.0000 6.8618
Ho Lu Be Pd
4 4 4 4
direct
0.0000 0.0000 0.0000
0.0000 0.5000 0.5000
0.5000 0.0000 0.5000
0.5000 0.5000 0.0000
0.0000 0.0000 0.5000
0.0000 0.5000 0.0000
0.5000 0.0000 0.0000
0.5000 0.5000 0.5000
0.2500 0.2500 0.7500
0.2500 0.7500 0.2500
0.7500 0.2500 0.2500
0.7500 0.7500 0.7500
0.2500 0.2500 0.2500
0.2500 0.7500 0.7500
0.7500 0.2500 0.7500
0.7500 0.7500 0.2500
```

Summary:
As for the formation energy: -0.397 eV per atom. The spin magnetization is 0.00 μB per formula unit. The space group is F-43m.